(1)
First-principles (GGA-PBE) data for an optimized crystal structure of ErCuPd3, as listed in Alexandria.

POSCAR file:
```
ErCuPd3
1.0
-1.896 2.033 11.602
1.896 -2.033 11.602
1.896 2.033 -11.602
Er Cu Pd
2 2 6
direct
0.344 0.094 0.250
0.656 0.906 0.750
0.113 0.363 0.750
0.887 0.637 0.250
0.043 0.793 0.250
0.217 0.467 0.750
0.453 0.703 0.750
0.547 0.297 0.250
0.783 0.533 0.250
0.957 0.207 0.750
```

Properties
Fermi-level density of states (states/eV per cell): 4.52
Formation energy (eV/f.u.): -2.19
Calculated volume (Å³/f.u.): 89.4
Final energy (eV/atom): -5.285
Spin magnetization (μB/cell): 0.0

(2)
First-principles (GGA-PBE) data for an optimized crystal structure of Pm3HoTm3S8, as listed in Alexandria.

POSCAR file:
```
Pm3HoTm3S8
1.0
3.907 2.256 6.488
-3.907 2.256 6.488
0.000 -4.512 6.488
Pm Ho Tm S
3 1 3 8
direct
0.000 0.500 0.500
0.500 0.000 0.500
0.500 0.500 0.000
0.500 0.500 0.500
0.000 0.000 0.500
0.000 0.500 0.000
0.500 0.000 0.000
0.240 0.748 0.748
0.244 0.244 0.244
0.252 0.252 0.760
0.252 0.760 0.252
0.748 0.240 0.748
0.748 0.748 0.240
0.756 0.756 0.756
0.760 0.252 0.252
```

Properties
Fermi-level density of states (states/eV per cell): 6.69
ΔE_f (raw) (eV per atom): -2.0425
Calculated volume (Å³/f.u.): 343.1
Final energy (eV/atom): -6.393
Spin magnetization (μB/cell): 0.0

(3)
First-principles (GGA-PBE) data for an optimized crystal structure of K2AlTlBr6, as listed in Alexandria.

POSCAR file:
```
K2AlTlBr6
1.0
0.000 5.659 5.659
5.659 0.000 5.659
5.659 5.659 0.000
K Al Tl Br
2 1 1 6
direct
0.250 0.250 0.250
0.750 0.750 0.750
0.000 0.000 0.000
0.500 0.500 0.500
0.223 0.223 0.777
0.223 0.777 0.223
0.223 0.777 0.777
0.777 0.223 0.223
0.777 0.223 0.777
0.777 0.777 0.223
```

Properties
Fermi-level density of states (states/eV per cell): 0.00
ΔE_f (raw) (eV per atom): -1.2462
Calculated volume (Å³/f.u.): 362.4
Final energy (eV/atom): -3.080
Spin magnetization (μB/cell): 0.0

(4)
First-principles (GGA-PBE) data for an optimized crystal structure of ZrCrAg2, as listed in Alexandria.

POSCAR file:
```
ZrCrAg2
1.0
-2.089 2.089 4.162
2.089 -2.089 4.162
2.089 2.089 -4.162
Zr Cr Ag
1 1 2
direct
0.000 0.000 0.000
0.250 0.750 0.500
0.500 0.500 0.000
0.750 0.250 0.500
```

Properties
Fermi-level density of states (states/eV per cell): 3.51
Formation energy (eV/f.u.): 0.97
Calculated volume (Å³/f.u.): 72.6
Final energy (eV/atom): -5.725
Spin magnetization (μB/cell): 3.4

(5)
First-principles (GGA-PBE) data for an optimized crystal structure of La2TlCoRh, as listed in Alexandria.

POSCAR file:
```
La2TlCoRh
1.0
5.399 0.000 0.000
0.000 5.399 0.000
0.000 0.000 5.146
La Tl Co Rh
2 1 1 1
direct
0.000 0.500 0.000
0.500 0.000 0.000
0.000 0.000 0.500
0.500 0.500 0.500
0.000 0.000 0.000
```

Properties
Fermi-level density of states (states/eV per cell): 5.81
Formation energy (eV/f.u.): 1.02
Calculated volume (Å³/f.u.): 150.0
Final energy (eV/atom): -5.131
Spin magnetization (μB/cell): 0.1

(6)
First-principles (GGA-PBE) data for an optimized crystal structure of Mn2CoHBr, as listed in Alexandria.

POSCAR file:
```
Mn2CoHBr
1.0
4.109 0.000 0.000
0.000 4.109 0.000
0.000 0.000 3.090
Mn Co H Br
2 1 1 1
direct
0.000 0.500 0.000
0.500 0.000 0.000
0.000 0.000 0.500
0.000 0.000 0.000
0.500 0.500 0.500
```

Properties
Fermi-level density of states (states/eV per cell): 6.49
Calculated volume (Å³/f.u.): 52.2
Final energy (eV/atom): -5.298
Spin magnetization (μB/cell): 0.0

(7)
First-principles (GGA-PBE) data for an optimized crystal structure of VFe3Sn, as listed in Alexandria.

POSCAR file:
```
VFe3Sn
1.0
4.708 0.000 0.000
0.000 4.708 0.000
0.000 0.000 4.708
V Fe Sn
1 3 1
direct
0.000 0.000 0.000
0.000 0.500 0.500
0.500 0.000 0.500
0.500 0.500 0.000
0.500 0.500 0.500
```

Properties
Fermi-level density of states (states/eV per cell): 11.27
Formation energy (eV/f.u.): 8.56
Calculated volume (Å³/f.u.): 104.4
Final energy (eV/atom): -5.990
Spin magnetization (μB/cell): 10.6

(8)
First-principles (GGA-PBE) data for an optimized crystal structure of Zr2MoW2, as listed in Alexandria.

POSCAR file:
```
Zr2MoW2
1.0
-1.773 1.773 8.167
1.773 -1.773 8.167
1.773 1.773 -8.167
Zr Mo W
2 1 2
direct
0.095 0.095 0.000
0.905 0.905 0.000
0.500 0.500 0.000
0.250 0.750 0.500
0.750 0.250 0.500
```

Properties
Fermi-level density of states (states/eV per cell): 7.76
Formation energy (eV/f.u.): 3.59
Calculated volume (Å³/f.u.): 102.7
Final energy (eV/atom): -10.049
Spin magnetization (μB/cell): 0.0